No. 1
TiBe2N: relaxed, PBE.

The magnetization comes out at 0.00 μB/f.u. The calculation puts the uncorrected formation energy at -304 meV per atom. For the final energy, the calculation gives -0.2287 hartree per atom.

abc: 6.1033 6.1033 4.7826
angles: 50.35 50.35 90.00
With the nearest neighbours (Å) after each atom.
Atoms (fractional coordinates):
1 Be 0.8750 0.4729 0.7500  2 N 1.86
2 Ti 0.0000 0.0000 0.0000  2 N 2.06
3 N 0.2500 0.7500 0.5000  4 Be 1.86, 2 Ti 2.06
4 Be 0.2229 0.1250 0.2500  2 N 1.86
5 Be 0.3750 0.7771 0.7500  2 N 1.86
6 Ti 0.7500 0.2500 0.5000  2 N 2.06
7 Be 0.5271 0.6250 0.2500  2 N 1.86
8 N 0.5000 0.5000 0.0000  4 Be 1.86, 2 Ti 2.06



No. 2
SiPtS2Cl: relaxed, PBE.

The energy above the most stable polymorph in this dataset comes out at 0 meV/atom. The magnetization comes out at 0.00 μB/f.u. The calculation puts the uncorrected formation energy at 515 meV per atom. For the final energy, the calculation gives -0.1396 hartree per atom.

abc: 4.7290 4.7290 4.7776
angles: 90.00 90.00 90.00
With the nearest neighbours (Å) after each atom.
Atoms (fractional coordinates):
1 S 0.5000 0.0000 0.0000  2 Pt 2.36
2 Cl 0.0000 0.0000 0.5000  2 Pt 2.39
3 Pt 0.0000 0.0000 0.0000  4 S 2.36, 2 Cl 2.39
4 Si 0.5000 0.5000 0.5000  4 Cl 3.34, 8 S 3.36
5 S 0.0000 0.5000 0.0000  2 Pt 2.36



No. 3
AlCdSe2: relaxed, PBE.

The energy above the most stable polymorph in this dataset comes out at 493 meV/atom. The magnetization comes out at 0.00 μB/f.u. The calculation puts the uncorrected formation energy at -33 meV per atom. For the final energy, the calculation gives -0.1080 hartree per atom.

abc: 4.8962 4.8962 4.8962
angles: 60.00 60.00 60.00
With the nearest neighbours (Å) after each atom.
Atoms (fractional coordinates):
1 Se 0.2500 0.2500 0.2500  4 Cd 3.00, 4 Al 3.00
2 Cd 0.5000 0.5000 0.5000  8 Se 3.00
3 Se 0.7500 0.7500 0.7500  4 Cd 3.00, 4 Al 3.00
4 Al 0.0000 0.0000 0.0000  8 Se 3.00



No. 4
Pm4NdY2Er2: relaxed, PBE.

The magnetization comes out at 0.00 μB/f.u. For the formation energy from the elements, the calculation gives 0.010 eV per atom. For the final energy, the calculation gives -0.1867 hartree per atom.

abc: 3.6347 9.6117 9.6837
angles: 115.18 90.00 100.90
With the nearest neighbours (Å) after each atom.
Atoms (fractional coordinates):
1 Er 0.3316 0.6633 0.9995  3 Y 3.54-3.55, 4 Er 3.58-3.63, 3 Pm 3.58-3.61, 2 Nd 3.66
2 Er 0.6684 0.3367 0.0005  3 Y 3.54-3.55, 4 Er 3.58-3.63, 3 Pm 3.58-3.61, 2 Nd 3.66
3 Y 0.8512 0.7024 0.3286  3 Er 3.54-3.55, 7 Pm 3.61-3.64, 2 Y 3.63
4 Pm 0.1850 0.3701 0.3322  1 Nd 3.58, 2 Er 3.58, 6 Pm 3.60-3.64, 3 Y 3.63-3.64
5 Pm 0.4816 0.9632 0.6658  5 Pm 3.57-3.64, 2 Nd 3.60, 1 Er 3.61, 4 Y 3.61-3.62
6 Pm 0.8150 0.6299 0.6678  1 Nd 3.58, 2 Er 3.58, 6 Pm 3.60-3.64, 3 Y 3.63-3.64
7 Pm 0.5184 0.0368 0.3342  5 Pm 3.57-3.64, 2 Nd 3.60, 1 Er 3.61, 4 Y 3.61-3.62
8 Nd 0.0000 0.0000 0.0000  6 Pm 3.58-3.60, 2 Nd 3.63, 4 Er 3.66
9 Y 0.1488 0.2976 0.6714  3 Er 3.54-3.55, 7 Pm 3.61-3.64, 2 Y 3.63